Entry 1:
HoAsPt | PBE | optimized geometry

## Properties
- DOS(E_F) (states/eV/atom) = 0.37
- V (A^3/atom) = 20.4
- E (eV per formula unit) = -18.9

Cell: 4.2894 4.2894 7.6745 Å, 90.00 90.00 120.00°
Element x y z (fractional)
As 0.3333 0.6667 0.7500
As 0.6667 0.3333 0.2500
Pt 0.3333 0.6667 0.2500
Pt 0.6667 0.3333 0.7500
Ho 0.0000 0.0000 0.0000
Ho 0.0000 0.0000 0.5000



Entry 2:
HoAsPt | PBE | optimized geometry

## Properties
- DOS(E_F) (states/eV/atom) = 0.22
- V (A^3/atom) = 20.2
- E (eV per formula unit) = -18.9

Cell: 4.2869 4.2869 15.2600 Å, 90.00 90.00 120.00°
Element x y z (fractional)
Ho 0.0000 0.0000 0.0000
Ho 0.0000 0.0000 0.2500
Ho 0.0000 0.0000 0.5000
Ho 0.0000 0.0000 0.7500
Pt 0.6667 0.3333 0.8628
Pt 0.3333 0.6667 0.3628
Pt 0.6667 0.3333 0.6372
Pt 0.3333 0.6667 0.1372
As 0.6667 0.3333 0.1148
As 0.3333 0.6667 0.6148
As 0.3333 0.6667 0.8852
As 0.6667 0.3333 0.3852



Entry 3:
Ho3As2Pt2Rh5 | PBE | optimized geometry

## Properties
- DOS(E_F) (states/eV/atom) = 0.59
- V (A^3/atom) = 17.9
- E (eV per formula unit) = -82.1

Cell: 4.0181 4.0181 13.5870 Å, 98.50 98.50 90.00°
Element x y z (fractional)
Pt 0.7225 0.7225 0.4450
Pt 0.2775 0.2775 0.5550
Rh 0.5791 0.0791 0.1582
Rh 0.5000 0.5000 0.0000
Rh 0.0791 0.5791 0.1582
Rh 0.9209 0.4209 0.8418
Rh 0.4209 0.9209 0.8418
As 0.6296 0.6296 0.2591
As 0.3704 0.3704 0.7409
Ho 0.8301 0.8301 0.6602
Ho 0.1699 0.1699 0.3398
Ho 0.0000 0.0000 0.0000



Entry 4:
Ho4AsPtS2 | PBE | optimized geometry

## Properties
- DOS(E_F) (states/eV/atom) = 0.59
- V (A^3/atom) = 22.7
- raw formation energy (eV/atom) = -1.630

Cell: 3.9577 7.0336 6.9044 Å, 71.03 90.00 90.00°
Element x y z (fractional)
Ho 0.5000 0.7535 0.2468
Ho 0.0000 0.2506 0.2446
Ho 0.0000 0.7494 0.7554
Ho 0.5000 0.2465 0.7532
S 0.0000 0.0000 0.0000
S 0.5000 0.0000 0.5000
Pt 0.5000 0.5000 0.0000
As 0.0000 0.5000 0.5000



Entry 5:
Ho8AsPt3Se4 | PBE | optimized geometry

## Properties
- DOS(E_F) (states/eV/atom) = 0.58
- V (A^3/atom) = 24.4
- raw formation energy (eV/atom) = -1.504

Cell: 8.0214 8.3962 8.0211 Å, 118.53 120.00 90.00°
Element x y z (fractional)
Ho 0.7387 0.7364 0.9876
Ho 0.2489 0.7364 0.4978
Ho 0.2613 0.2636 0.0124
Ho 0.2489 0.7364 0.9876
Ho 0.7433 0.7300 0.4867
Ho 0.7511 0.2636 0.0124
Ho 0.7511 0.2636 0.5022
Ho 0.2567 0.2700 0.5133
Se 0.5000 0.0000 0.5000
Se 0.0000 0.0000 0.5000
Se 0.5000 0.0000 0.0000
Se 0.0000 0.0000 0.0000
Pt 0.0000 0.5000 0.5000
Pt 0.5000 0.5000 0.0000
Pt 0.5000 0.5000 0.5000
As 0.0000 0.5000 0.0000



Entry 6:
Ho6AsPt2Se3 | PBE | optimized geometry

## Properties
- DOS(E_F) (states/eV/atom) = 0.61
- V (A^3/atom) = 24.4
- raw formation energy (eV/atom) = -1.537

Cell: 4.0208 8.3303 9.3288 Å, 106.20 102.44 90.00°
Element x y z (fractional)
Pt 0.1727 0.3567 0.3454
Pt 0.8273 0.6433 0.6546
Ho 0.0089 0.2483 0.0177
Ho 0.3338 0.4123 0.6676
Ho 0.9911 0.7517 0.9823
Ho 0.6668 0.1176 0.3337
Ho 0.3332 0.8824 0.6663
Ho 0.6662 0.5877 0.3324
As 0.5000 0.0000 0.0000
Se 0.1611 0.8504 0.3223
Se 0.8389 0.1496 0.6777
Se 0.5000 0.5000 0.0000



Entry 7:
Ho6As2PtSe3 | PBE | optimized geometry

## Properties
- DOS(E_F) (states/eV/atom) = 0.51
- V (A^3/atom) = 24.2
- raw formation energy (eV/atom) = -1.607

Cell: 4.0516 8.2386 9.1844 Å, 103.30 102.74 90.00°
Element x y z (fractional)
Ho 0.3365 0.9116 0.6730
Ho 0.0014 0.2365 0.0028
Ho 0.6635 0.0884 0.3270
Ho 0.3305 0.4236 0.6609
Ho 0.6695 0.5764 0.3391
Ho 0.9986 0.7635 0.9972
As 0.8333 0.6656 0.6666
As 0.1667 0.3344 0.3334
Pt 0.5000 0.0000 0.0000
Se 0.8303 0.1682 0.6605
Se 0.1697 0.8318 0.3395
Se 0.5000 0.5000 0.0000



Entry 8:
Sr2HoAs3Pt4 | PBE | optimized geometry

## Properties
- DOS(E_F) (states/eV/atom) = 0.65
- V (A^3/atom) = 21.6
- E (eV per formula unit) = -54.8

Cell: 4.3897 4.3897 11.2239 Å, 90.00 90.00 90.00°
Element x y z (fractional)
Sr 0.5000 0.0000 0.2261
Sr 0.0000 0.5000 0.7739
Pt 0.5000 0.5000 0.0000
Pt 0.0000 0.0000 0.0000
Pt 0.0000 0.5000 0.3453
Pt 0.5000 0.0000 0.6547
As 0.0000 0.0000 0.5000
As 0.5000 0.0000 0.8776
As 0.0000 0.5000 0.1224
Ho 0.5000 0.5000 0.5000



Entry 9:
Ho6Te3As2Pt | PBE | optimized geometry

## Properties
- DOS(E_F) (states/eV/atom) = 0.50
- V (A^3/atom) = 26.8
- raw formation energy (eV/atom) = -1.394

Cell: 4.1602 8.5884 9.5324 Å, 103.92 102.60 90.00°
Element x y z (fractional)
Ho 0.6587 0.0996 0.3174
Ho 0.9943 0.7778 0.9887
Ho 0.6732 0.5661 0.3464
Ho 0.3413 0.9004 0.6826
Ho 0.0057 0.2222 0.0113
Ho 0.3268 0.4339 0.6536
As 0.8325 0.6636 0.6651
As 0.1675 0.3364 0.3349
Te 0.1696 0.8318 0.3393
Te 0.5000 0.5000 0.0000
Te 0.8304 0.1682 0.6607
Pt 0.5000 0.0000 0.0000



Entry 10:
HoPu5As6 | PBE | optimized geometry

## Properties
- DOS(E_F) (states/eV/atom) = 4.00
- V (A^3/atom) = 24.9
- E (eV per formula unit) = -117.4

Cell: 7.1521 7.1530 7.1524 Å, 60.00 80.41 70.53°
Each line ends with the local moment (μB).
Element x y z (fractional)
Pu 0.0000 0.3333 0.3335  4.99
Pu 0.5000 0.1661 0.6677  5.01
Pu 0.5000 0.5000 0.0000  5.01
Pu 0.0000 0.6667 0.6665  4.99
Pu 0.5000 0.8339 0.3323  5.01
As 0.7497 0.0834 0.3341  -0.14
As 0.2501 0.2508 0.0000  -0.14
As 0.2503 0.9166 0.6659  -0.14
As 0.7497 0.4176 0.6659  -0.14
As 0.7499 0.7492 0.0000  -0.14
As 0.2503 0.5824 0.3341  -0.14
Ho 0.0000 0.0000 0.0000  -0.05



Entry 11:
Ho5Pu3As8 | PBE | optimized geometry

## Properties
- DOS(E_F) (states/eV/atom) = 2.13
- V (A^3/atom) = 24.6
- E (eV per formula unit) = -124.4

Cell: 8.2316 8.2316 8.2105 Å, 59.91 59.91 60.00°
Each line ends with the local moment (μB).
Element x y z (fractional)
Pu 0.0000 0.0000 0.5000  5.01
Pu 0.5000 0.0000 0.5000  5.01
Pu 0.0000 0.5000 0.5000  5.01
As 0.2494 0.7500 0.2506  -0.07
As 0.7500 0.2494 0.2506  -0.07
As 0.2498 0.2498 0.2507  -0.10
As 0.2500 0.2500 0.7494  -0.07
As 0.2500 0.7506 0.7494  -0.07
As 0.7500 0.7500 0.2506  -0.07
As 0.7502 0.7502 0.7493  -0.10
As 0.7506 0.2500 0.7494  -0.07
Ho 0.0000 0.5000 0.0000  -0.04
Ho 0.5000 0.0000 0.0000  -0.04
Ho 0.0000 0.0000 0.0000  0.01
Ho 0.5000 0.5000 0.5000  0.01
Ho 0.5000 0.5000 0.0000  -0.04



Entry 12:
HoPu2As3 | PBE | optimized geometry

## Properties
- DOS(E_F) (states/eV/atom) = 3.82
- V (A^3/atom) = 24.8
- distance to the lowest polymorph of the same formula (eV per atom) = 0.033

Cell: 7.1371 7.1371 13.0331 Å, 100.54 100.54 109.39°
Each line ends with the local moment (μB).
Element x y z (fractional)
As 0.6664 0.1667 0.8334  0.00
As 0.8333 0.3336 0.1666  0.00
As 0.4167 0.4164 0.3334  0.00
As 0.0830 0.0833 0.6666  0.00
As 0.2501 0.2501 0.0000  0.00
As 0.5001 0.0001 0.5000  0.00
As 0.7499 0.7499 0.0000  0.00
As 0.9999 0.4999 0.5000  0.00
As 0.3333 0.8330 0.1666  0.00
As 0.9167 0.9170 0.3334  0.00
As 0.1670 0.6667 0.8334  0.00
As 0.5836 0.5833 0.6666  0.00
Pu 0.5834 0.5834 0.1668  5.06
Pu 0.2499 0.2499 0.4998  -5.05
Pu 0.0001 0.5001 0.0002  -5.05
Pu 0.6666 0.1666 0.3332  5.06
Pu 0.4166 0.4166 0.8332  5.06
Pu 0.7501 0.7501 0.5002  -5.05
Pu 0.8334 0.3334 0.6668  5.06
Pu 0.4999 0.9999 0.9998  -5.05
Ho 0.1667 0.6667 0.3335  -0.02
Ho 0.0833 0.0833 0.1665  -0.02
Ho 0.3333 0.8333 0.6665  -0.02
Ho 0.9167 0.9167 0.8335  -0.02



Entry 13:
Ho2PuAs | PBE | optimized geometry

## Properties
- DOS(E_F) (states/eV/atom) = 2.68
- V (A^3/atom) = 30.9
- E (eV per formula unit) = -29.2

Cell: 3.7333 3.7333 10.4545 Å, 79.71 79.71 60.00°
Each line ends with the local moment (μB).
Element x y z (fractional)
Pu 0.0000 0.0000 0.0000  5.79
Ho 0.8902 0.8902 0.3293  0.04
Ho 0.1098 0.1098 0.6707  0.04
As 0.5000 0.5000 0.5000  0.01



Entry 14:
HoPu4As5 | PBE | optimized geometry

## Properties
- DOS(E_F) (states/eV/atom) = 3.85
- V (A^3/atom) = 24.9
- E (eV per formula unit) = -96.4

Cell: 4.1319 7.1452 9.2291 Å, 75.04 77.06 73.19°
Each line ends with the local moment (μB).
Element x y z (fractional)
As 0.0000 0.5000 0.5000  -0.16
As 0.7999 0.1003 0.2999  -0.14
As 0.6007 0.6986 0.0999  -0.12
As 0.3993 0.3014 0.9001  -0.12
As 0.2001 0.8997 0.7001  -0.14
Pu 0.2002 0.3997 0.1998  5.00
Pu 0.5997 0.1996 0.6011  5.00
Pu 0.4003 0.8004 0.3989  5.00
Pu 0.7998 0.6003 0.8002  5.00
Ho 0.0000 0.0000 0.0000  -0.05



Entry 15:
HoPu3As4 | PBE | optimized geometry

## Properties
- DOS(E_F) (states/eV/atom) = 3.59
- V (A^3/atom) = 24.8
- distance to the lowest polymorph of the same formula (eV per atom) = 0.004

Cell: 5.8321 5.8321 5.8321 Å, 90.00 90.00 90.00°
Each line ends with the local moment (μB).
Element x y z (fractional)
Pu 0.0000 0.5000 0.5000  4.98
Pu 0.5000 0.0000 0.5000  4.98
Pu 0.5000 0.5000 0.0000  4.98
Ho 0.0000 0.0000 0.0000  0.00
As 0.0000 0.0000 0.5000  -0.12
As 0.5000 0.5000 0.5000  -0.16
As 0.5000 0.0000 0.0000  -0.12
As 0.0000 0.5000 0.0000  -0.12



Entry 16:
Ho3PuAs4 | PBE | optimized geometry

## Properties
- DOS(E_F) (states/eV/atom) = 1.63
- V (A^3/atom) = 24.5
- distance to the lowest polymorph of the same formula (eV per atom) = 0.000

Cell: 4.1153 7.1059 7.1059 Å, 109.46 90.00 90.00°
Each line ends with the local moment (μB).
Element x y z (fractional)
As 0.5000 0.2499 0.7501  -0.04
As 0.0000 0.7502 0.7502  -0.07
As 0.0000 0.2498 0.2498  -0.07
As 0.5000 0.7501 0.2499  -0.04
Ho 0.0000 0.0000 0.5000  0.01
Ho 0.5000 0.5000 0.5000  -0.03
Ho 0.0000 0.5000 0.0000  0.01
Pu 0.5000 0.0000 0.0000  5.00



Entry 17:
HoPu3As4 | PBE | optimized geometry

## Properties
- DOS(E_F) (states/eV/atom) = 3.74
- V (A^3/atom) = 24.8
- distance to the lowest polymorph of the same formula (eV per atom) = 0.000

Cell: 4.1287 7.1424 7.1424 Å, 109.49 90.00 90.00°
Each line ends with the local moment (μB).
Element x y z (fractional)
As 0.5000 0.2502 0.7498  -0.14
As 0.5000 0.7498 0.2502  -0.14
As 0.0000 0.2508 0.2508  -0.12
As 0.0000 0.7492 0.7492  -0.12
Pu 0.0000 0.0000 0.5000  4.98
Pu 0.5000 0.5000 0.5000  5.03
Pu 0.0000 0.5000 0.0000  4.98
Ho 0.5000 0.0000 0.0000  -0.05



Entry 18:
Ho3PuAs4 | PBE | optimized geometry

## Properties
- DOS(E_F) (states/eV/atom) = 1.89
- V (A^3/atom) = 24.5
- distance to the lowest polymorph of the same formula (eV per atom) = 0.002

Cell: 5.8064 5.8064 5.8064 Å, 90.00 90.00 90.00°
Each line ends with the local moment (μB).
Element x y z (fractional)
As 0.0000 0.0000 0.5000  -0.07
As 0.5000 0.0000 0.0000  -0.07
As 0.0000 0.5000 0.0000  -0.07
As 0.5000 0.5000 0.5000  0.01
Ho 0.5000 0.5000 0.0000  0.01
Ho 0.5000 0.0000 0.5000  0.01
Ho 0.0000 0.5000 0.5000  0.01
Pu 0.0000 0.0000 0.0000  4.95



Entry 19:
HoPu2As3 | PBE | optimized geometry

## Properties
- DOS(E_F) (states/eV/atom) = 3.18
- V (A^3/atom) = 24.7
- distance to the lowest polymorph of the same formula (eV per atom) = 0.000

Cell: 4.1256 5.8264 7.1323 Å, 114.11 106.81 90.00°
Each line ends with the local moment (μB).
Element x y z (fractional)
As 0.8323 0.3323 0.1645  -0.12
As 0.5000 0.0000 0.5000  -0.12
As 0.1677 0.6677 0.8355  -0.12
Pu 0.8340 0.8340 0.1679  5.00
Pu 0.1660 0.1660 0.8321  5.00
Ho 0.5000 0.5000 0.5000  -0.03



Entry 20:
Ho2PuScAs4 | PBE | optimized geometry

## Properties
- DOS(E_F) (states/eV/atom) = 1.53
- V (A^3/atom) = 23.6
- E (eV per formula unit) = -59.1

Cell: 4.0673 7.0045 7.0186 Å, 109.44 90.00 90.00°
Each line ends with the local moment (μB).
Element x y z (fractional)
Sc 0.5000 0.5000 0.0000  0.04
Pu 0.0000 0.0000 0.0000  4.97
As 0.5000 0.2543 0.2450  -0.07
As 0.0000 0.7414 0.2409  -0.04
As 0.0000 0.2586 0.7591  -0.04
As 0.5000 0.7457 0.7550  -0.07
Ho 0.5000 0.0000 0.5000  0.02
Ho 0.0000 0.5000 0.5000  -0.03



Entry 21:
HoPuSc2As4 | PBE | optimized geometry

## Properties
- DOS(E_F) (states/eV/atom) = 1.52
- V (A^3/atom) = 22.6
- E (eV per formula unit) = -60.6

Cell: 4.0098 6.8996 6.9281 Å, 70.49 90.00 90.00°
Each line ends with the local moment (μB).
Element x y z (fractional)
As 0.0000 0.7640 0.7455  -0.07
As 0.0000 0.2360 0.2545  -0.07
As 0.5000 0.2363 0.7548  -0.04
As 0.5000 0.7637 0.2452  -0.04
Ho 0.0000 0.5000 0.5000  0.01
Sc 0.0000 0.0000 0.0000  0.03
Sc 0.5000 0.0000 0.5000  -0.01
Pu 0.5000 0.5000 0.0000  4.99



Entry 22:
SmHoPu2As4 | PBE | optimized geometry

## Properties
- DOS(E_F) (states/eV/atom) = 2.70
- V (A^3/atom) = 25.2
- E (eV per formula unit) = -66.7

Cell: 4.1535 7.1909 7.1534 Å, 109.58 90.00 90.00°
Each line ends with the local moment (μB).
Element x y z (fractional)
As 0.5000 0.2557 0.2563  -0.10
As 0.5000 0.7443 0.7437  -0.10
As 0.0000 0.7477 0.2536  -0.10
As 0.0000 0.2523 0.7464  -0.10
Pu 0.0000 0.5000 0.5000  4.99
Pu 0.5000 0.0000 0.5000  5.04
Ho 0.5000 0.5000 0.0000  -0.04
Sm 0.0000 0.0000 0.0000  0.00